Entry from Alexandria via LeMat-Bulk: a relaxed structure of PmDy12Y7 (PBE-GGA).

Calculated values
- total energy (eV per atom) = -4.54
- space-group type = Im-3m (229)
- crystal system = cubic
- E above lowest polymorph (meV/atom) = 473
- magnetization (μB/cell) = 0.00
- energy relative to the elements (eV/atom) = 0.72

a b c (Å): 9.7579 9.7579 9.7579
angles (deg): 109.47 109.47 109.47
Fractional positions:
Pm: 0.0000 0.0000 0.0000
Dy: 0.4944 0.7475 0.7469
Dy: 0.0006 0.7475 0.2531
Dy: 0.5056 0.2525 0.2531
Dy: 0.9994 0.2525 0.7469
Dy: 0.7469 0.9994 0.2525
Dy: 0.7469 0.4944 0.7475
Dy: 0.2531 0.0006 0.7475
Dy: 0.2531 0.5056 0.2525
Dy: 0.7475 0.7469 0.4944
Dy: 0.2525 0.2531 0.5056
Dy: 0.7475 0.2531 0.0006
Dy: 0.2525 0.7469 0.9994
Y: 0.5000 0.5000 0.0000
Y: 0.0000 0.5000 0.5000
Y: 0.5000 0.0000 0.5000
Y: 0.5000 0.5000 0.5000
Y: 0.0000 0.0000 0.5000
Y: 0.5000 0.0000 0.0000
Y: 0.0000 0.5000 0.0000

=====

Entry from Alexandria via LeMat-Bulk: a relaxed structure of Pm4Dy3Y8 (PBE-GGA).

Calculated values
- total energy (eV per atom) = -5.26
- space-group type = C2/m (12)
- crystal system = monoclinic
- E above lowest polymorph (meV/atom) = 243
- magnetization (μB/cell) = 0.68
- energy relative to the elements (eV/atom) = 0.37

a b c (Å): 6.7814 9.3306 9.3306
angles (deg): 87.19 111.38 111.38
Site moments in Bohr magnetons follow the coordinates.
Fractional positions:
Pm: 0.5000 0.0000 0.0000  0.12
Pm: 0.0000 0.5000 0.0000  0.00
Pm: 0.0000 0.0000 0.0000  0.03
Pm: 0.0000 0.0000 0.5000  0.00
Dy: 0.5000 0.5000 0.0000  0.01
Dy: 0.5000 0.0000 0.5000  0.01
Dy: 0.5000 0.5000 0.5000  0.04
Y: 0.5200 0.2659 0.2659  0.02
Y: 0.0000 0.6407 0.3593  0.01
Y: 0.0035 0.2693 0.2693  0.01
Y: 0.5000 0.7463 0.2537  0.06
Y: 0.5000 0.2537 0.7463  0.06
Y: 0.9965 0.7307 0.7307  0.01
Y: 0.0000 0.3593 0.6407  0.01
Y: 0.4800 0.7341 0.7341  0.02

=====

Entry from Alexandria via LeMat-Bulk: a relaxed structure of Pm5Dy2Y2 (PBE-GGA).

Calculated values
- total energy (eV per atom) = -5.03
- space-group type = P-1 (2)
- crystal system = triclinic
- E above lowest polymorph (meV/atom) = 0
- magnetization (μB/cell) = 0.00
- energy relative to the elements (eV/atom) = 0.06

a b c (Å): 3.6051 12.9625 11.4732
angles (deg): 40.51 118.09 114.60
Fractional positions:
Pm: 0.3575 0.3560 0.2161
Pm: 0.6425 0.6440 0.7839
Pm: 0.2930 0.2951 0.5682
Pm: 0.7070 0.7049 0.4318
Pm: 0.0000 0.0000 0.0000
Dy: 0.4687 0.9716 0.6747
Dy: 0.5313 0.0284 0.3253
Y: 0.8279 0.3128 0.9049
Y: 0.1721 0.6872 0.0951

=====

Entry from Alexandria via LeMat-Bulk: a relaxed structure of Pm2Dy5Y5 (PBE-GGA).

Calculated values
- total energy (eV per atom) = -5.38
- space-group type = C2/m (12)
- crystal system = monoclinic
- magnetization (μB/cell) = 0.00
- energy relative to the elements (eV/atom) = 0.02

a b c (Å): 5.0537 7.9890 11.2876
angles (deg): 115.11 90.00 108.44
Fractional positions:
Pm: 0.0830 0.1661 0.7503
Pm: 0.9170 0.8339 0.2497
Dy: 0.5000 0.0000 0.5000
Dy: 0.6668 0.3336 0.0001
Dy: 0.5834 0.1668 0.2499
Dy: 0.4166 0.8332 0.7501
Dy: 0.3332 0.6664 0.9999
Y: 0.1664 0.3329 0.4995
Y: 0.7508 0.5016 0.7511
Y: 0.2492 0.4984 0.2489
Y: 0.8336 0.6671 0.5005
Y: 0.0000 0.0000 0.0000

=====

Entry from Alexandria via LeMat-Bulk: a relaxed structure of Pm2Dy15Y2 (PBE-GGA).

Calculated values
- total energy (eV per atom) = -4.54
- space-group type = R-3m (166)
- crystal system = trigonal
- magnetization (μB/cell) = 0.02
- energy relative to the elements (eV/atom) = 0.28

a b c (Å): 8.7284 8.7284 8.7284
angles (deg): 79.98 79.98 79.98
Fractional positions:
Pm: 0.3258 0.3258 0.3258
Pm: 0.6742 0.6742 0.6742
Dy: 0.0000 0.0000 0.5000
Dy: 0.5000 0.0000 0.0000
Dy: 0.0000 0.5000 0.0000
Dy: 0.2979 0.7021 0.0000
Dy: 0.0000 0.2979 0.7021
Dy: 0.7021 0.0000 0.2979
Dy: 0.0000 0.7021 0.2979
Dy: 0.2979 0.0000 0.7021
Dy: 0.7021 0.2979 0.0000
Dy: 0.6312 0.6312 0.1492
Dy: 0.1492 0.6312 0.6312
Dy: 0.6312 0.1492 0.6312
Dy: 0.3688 0.3688 0.8508
Dy: 0.8508 0.3688 0.3688
Dy: 0.3688 0.8508 0.3688
Y: 0.0973 0.0973 0.0973
Y: 0.9027 0.9027 0.9027

=====

Entry from Alexandria via LeMat-Bulk: a relaxed structure of Pm2Dy6Y3 (PBE-GGA).

Calculated values
- total energy (eV per atom) = -4.87
- space-group type = I4/mmm (139)
- crystal system = tetragonal
- E above lowest polymorph (meV/atom) = 78
- magnetization (μB/cell) = 0.00
- energy relative to the elements (eV/atom) = 0.27

a b c (Å): 4.7506 4.7506 16.8968
angles (deg): 98.08 98.08 90.00
Fractional positions:
Pm: 0.4540 0.4540 0.9080
Pm: 0.5460 0.5460 0.0920
Dy: 0.1208 0.6208 0.2417
Dy: 0.6208 0.1208 0.2417
Dy: 0.8792 0.3792 0.7583
Dy: 0.3792 0.8792 0.7583
Dy: 0.6935 0.6935 0.3870
Dy: 0.3065 0.3065 0.6130
Y: 0.0000 0.0000 0.0000
Y: 0.7976 0.7976 0.5951
Y: 0.2024 0.2024 0.4049